No. 1
Below is a relaxed structure of SiOs2, with properties calculated at the GGA-PBE level.

## Properties
Uncorrected formation energy: -0.153 eV/atom
Symmetry: Cmcm, No. 63
Final energy: -9.447 eV per atom

abc: 6.7498 6.7498 4.4031
angles: 90.00 90.00 155.88
Element x y z (fractional)
Si: 0.2176 0.7824 0.7500
Si: 0.7824 0.2176 0.2500
Os: 0.1247 0.8753 0.2500
Os: 0.4446 0.5554 0.2500
Os: 0.5554 0.4446 0.7500
Os: 0.8753 0.1247 0.7500

---

No. 2
Below is a relaxed structure of SiOs, with properties calculated at the GGA-PBE level.

## Properties
Uncorrected formation energy: 0.180 eV/atom
Symmetry: R-3m, No. 166
Final energy: -8.146 eV per atom

abc: 5.1670 5.1670 5.1670
angles: 44.58 44.58 44.58
Element x y z (fractional)
Si: 0.2219 0.2219 0.2219
Si: 0.7781 0.7781 0.7781
Os: 0.4004 0.4004 0.4004
Os: 0.5996 0.5996 0.5996

---

No. 3
Below is a relaxed structure of SiOs, with properties calculated at the GGA-PBE level.

## Properties
Uncorrected formation energy: 0.403 eV/atom
Symmetry: Fddd, No. 70
Final energy: -7.923 eV per atom

abc: 7.7283 6.8552 5.4509
angles: 76.87 59.75 43.38
Element x y z (fractional)
Si: 0.0985 0.6515 0.0985
Si: 0.3485 0.9015 0.3485
Si: 0.6515 0.0985 0.6515
Si: 0.9015 0.3485 0.9015
Os: 0.0169 0.0169 0.2331
Os: 0.2331 0.2331 0.0169
Os: 0.7669 0.7669 0.9831
Os: 0.9831 0.9831 0.7669

---

No. 4
Below is a relaxed structure of SiOs, with properties calculated at the GGA-PBE level.

## Properties
Uncorrected formation energy: -0.346 eV/atom
Symmetry: Pm-3m, No. 221
Final energy: -8.673 eV per atom

abc: 2.9551 2.9551 2.9551
angles: 90.00 90.00 90.00
Element x y z (fractional)
Si: 0.0000 0.0000 0.0000
Os: 0.5000 0.5000 0.5000

---

- Which of these has the highest final energy?
  number 3